Entry 1:
DFT (GGA-PBE) results for an optimized crystal structure of TmZrMnZn.

Computed properties:
* calculated volume: 19.3 Å³ per atom
* density: 8.2 g/cm³
* ΔH_f (0 K): -0.16 eV/f.u.
* space group: F-43m, No. 216
* magnetization: 1.566 μB per formula unit
* E_tot: -23.626 eV for the cell shown

Cell lengths 4.7773, 4.7773, 4.7773 Å; angles 60.00, 60.00, 60.00 degrees
Closest atoms and distances in Å follow each position.
Fractional positions:
Mn  0.2500  0.2500  0.2500  4 Zr 2.93, 4 Tm 2.93
Zn  0.7500  0.7500  0.7500  4 Zr 2.93, 4 Tm 2.93
Tm  0.5000  0.5000  0.5000  4 Mn 2.93, 4 Zn 2.93
Zr  0.0000  0.0000  0.0000  4 Zn 2.93, 4 Mn 2.93



Entry 2:
DFT (GGA-PBE) results for an optimized crystal structure of TmZrMn4.

Computed properties:
* calculated volume: 14.8 Å³ per atom
* density: 9.0 g/cm³
* ΔH_f (0 K): -0.34 eV/f.u.
* space group: F-43m, No. 216
* magnetization: 2.294 μB per formula unit
* E_tot: -50.034 eV for the cell shown

Cell lengths 5.0092, 5.0092, 5.0092 Å; angles 60.00, 60.00, 60.00 degrees
Closest atoms and distances in Å follow each position.
Fractional positions:
Mn  0.6247  0.6247  0.1259  6 Mn 2.50-2.51
Mn  0.6247  0.1259  0.6247  6 Mn 2.50-2.51
Mn  0.6247  0.6247  0.6247  6 Mn 2.50-2.51
Mn  0.1259  0.6247  0.6247  6 Mn 2.50-2.51
Tm  0.0000  0.0000  0.0000  12 Mn 2.94, 4 Zr 3.07
Zr  0.2500  0.2500  0.2500  12 Mn 2.94, 4 Tm 3.07



Entry 3:
DFT (GGA-PBE) results for an optimized crystal structure of TmZrMn.

Computed properties:
* calculated volume: 22.9 Å³ per atom
* density: 7.6 g/cm³
* ΔH_f (0 K): 0.95 eV/f.u.
* space group: Pmmm, No. 47
* magnetization: 1.419 μB per formula unit
* energy above the most stable polymorph in this dataset: 230 meV per atom
* E_tot: -21.241 eV for the cell shown

Cell lengths 3.1323, 4.2505, 5.1605 Å; angles 90.00, 90.00, 90.00 degrees
Closest atoms and distances in Å follow each position.
Fractional positions:
Zr  0.0000  0.5000  0.5000  4 Mn 2.64
Mn  0.5000  0.0000  0.5000  4 Zr 2.64
Tm  0.0000  0.0000  0.0000  4 Mn 3.02, 2 Tm 3.13, 4 Zr 3.34



Entry 4:
DFT (GGA-PBE) results for an optimized crystal structure of TmZr3Mn8.

Computed properties:
* calculated volume: 15.0 Å³ per atom
* density: 8.2 g/cm³
* ΔH_f (0 K): -1.51 eV/f.u.
* space group: R3m, No. 160
* magnetization: 6.046 μB per formula unit
* E_tot: -104.981 eV for the cell shown

Cell lengths 5.1210, 5.1210, 8.4422 Å; angles 72.34, 72.34, 60.00 degrees
Closest atoms and distances in Å follow each position.
Fractional positions:
Tm  0.8745  0.8745  0.3765  12 Mn 2.89-3.00, 4 Zr 3.00-3.11
Zr  0.3744  0.3744  0.8767  12 Mn 2.85-3.00, 4 Zr 2.99-3.11
Zr  0.0010  0.0010  0.9969  12 Mn 2.83-2.99, 1 Tm 3.00, 3 Zr 3.11
Zr  0.5004  0.5004  0.4987  12 Mn 2.89-3.00, 1 Zr 2.99, 3 Tm 3.11
Mn  0.9382  0.4389  0.1840  6 Mn 2.44-2.56
Mn  0.4361  0.9364  0.6912  6 Mn 2.45-2.56
Mn  0.4389  0.4389  0.1840  6 Mn 2.44-2.56
Mn  0.9364  0.9364  0.6912  6 Mn 2.45-2.56
Mn  0.1875  0.1875  0.4374  6 Mn 2.49
Mn  0.6873  0.6873  0.9382  6 Mn 2.44-2.45
Mn  0.4389  0.9382  0.1840  6 Mn 2.44-2.56
Mn  0.9364  0.4361  0.6912  6 Mn 2.45-2.56



Entry 5:
DFT (GGA-PBE) results for an optimized crystal structure of TmZrMn17.

Computed properties:
* calculated volume: 12.8 Å³ per atom
* density: 8.2 g/cm³
* ΔH_f (0 K): -0.48 eV/f.u.
* space group: R3m, No. 160
* magnetization: 4.857 μB per formula unit
* E_tot: -169.380 eV for the cell shown

Cell lengths 6.2561, 6.2561, 6.2561 Å; angles 86.14, 86.14, 86.14 degrees
Closest atoms and distances in Å follow each position.
Fractional positions:
Tm  0.3549  0.3549  0.3549  13 Mn 2.88-3.14
Zr  0.6440  0.6440  0.6440  13 Mn 2.84-3.12
Mn  0.2774  0.9989  0.7241  6 Mn 2.29-2.47
Mn  0.7241  0.2774  0.9989  6 Mn 2.29-2.47
Mn  0.9989  0.7241  0.2774  6 Mn 2.29-2.47
Mn  0.2774  0.7241  0.9989  6 Mn 2.29-2.47
Mn  0.9989  0.2774  0.7241  6 Mn 2.29-2.47
Mn  0.7241  0.9989  0.2774  6 Mn 2.29-2.47
Mn  0.3602  0.8720  0.3602  9 Mn 2.46-2.66
Mn  0.3602  0.3602  0.8720  9 Mn 2.46-2.66
Mn  0.8720  0.3602  0.3602  9 Mn 2.46-2.66
Mn  0.6423  0.1241  0.6423  9 Mn 2.45-2.64
Mn  0.6423  0.6423  0.1241  9 Mn 2.45-2.64
Mn  0.1241  0.6423  0.6423  9 Mn 2.45-2.64
Mn  0.0003  0.5005  0.0003  8 Mn 2.29-2.46
Mn  0.0003  0.0003  0.5005  8 Mn 2.29-2.46
Mn  0.5005  0.0003  0.0003  8 Mn 2.29-2.46
Mn  0.8984  0.8984  0.8984  4 Mn 2.32-2.58
Mn  0.0996  0.0996  0.0996  4 Mn 2.32-2.59



Entry 6:
DFT (GGA-PBE) results for an optimized crystal structure of TmZr2Mn9.

Computed properties:
* calculated volume: 14.5 Å³ per atom
* density: 8.1 g/cm³
* ΔH_f (0 K): -1.09 eV/f.u.
* space group: R-3m, No. 166
* magnetization: 4.187 μB per formula unit
* E_tot: -105.185 eV for the cell shown

Cell lengths 5.0729, 5.0729, 8.3449 Å; angles 72.30, 72.30, 60.00 degrees
Closest atoms and distances in Å follow each position.
Fractional positions:
Tm  0.0000  0.0000  0.0000  18 Mn 2.93-3.21
Zr  0.8572  0.8572  0.4285  12 Mn 2.88-2.98, 3 Zr 3.13
Zr  0.1428  0.1428  0.5715  12 Mn 2.88-2.98, 3 Zr 3.13
Mn  0.6671  0.6671  0.9986  6 Mn 2.44-2.47
Mn  0.3329  0.3329  0.0014  6 Mn 2.44-2.47
Mn  0.5000  0.5000  0.5000  6 Mn 2.43
Mn  0.4149  0.4149  0.2526  7 Mn 2.43-2.55
Mn  0.9176  0.4149  0.2526  7 Mn 2.43-2.55
Mn  0.4149  0.9176  0.2526  7 Mn 2.43-2.55
Mn  0.5851  0.5851  0.7474  7 Mn 2.43-2.55
Mn  0.5851  0.0824  0.7474  7 Mn 2.43-2.55
Mn  0.0824  0.5851  0.7474  7 Mn 2.43-2.55



Entry 7:
DFT (GGA-PBE) results for an optimized crystal structure of TmZrMn.

Computed properties:
* calculated volume: 21.0 Å³ per atom
* density: 8.3 g/cm³
* ΔH_f (0 K): 0.26 eV/f.u.
* space group: I4mm, No. 107
* magnetization: 0.000 μB per formula unit
* energy above the most stable polymorph in this dataset: 0 meV per atom
* E_tot: -21.932 eV for the cell shown

Cell lengths 3.2443, 3.2443, 6.4187 Å; angles 104.64, 104.64, 90.00 degrees
Closest atoms and distances in Å follow each position.
Fractional positions:
Mn  0.6776  0.6776  0.3551  4 Zr 2.67, 4 Tm 2.89
Tm  0.0314  0.0314  0.0627  4 Mn 2.89, 1 Zr 3.11
Zr  0.2911  0.2911  0.5822  4 Mn 2.67



Entry 8:
DFT (GGA-PBE) results for an optimized crystal structure of Tm2ZrMn.

Computed properties:
* calculated volume: 23.6 Å³ per atom
* density: 8.5 g/cm³
* ΔH_f (0 K): 0.60 eV/f.u.
* space group: P4/mmm, No. 123
* magnetization: 3.724 μB per formula unit
* E_tot: -26.064 eV for the cell shown

Cell lengths 3.3398, 3.3398, 8.4744 Å; angles 90.00, 90.00, 90.00 degrees
Closest atoms and distances in Å follow each position.
Fractional positions:
Mn  0.5000  0.5000  0.0000  8 Tm 3.02, 4 Mn 3.34
Tm  0.0000  0.0000  0.7773  4 Mn 3.02, 4 Zr 3.33, 4 Tm 3.34
Tm  0.0000  0.0000  0.2227  4 Mn 3.02, 4 Zr 3.33, 4 Tm 3.34
Zr  0.5000  0.5000  0.5000  8 Tm 3.33, 4 Zr 3.34



Entry 9:
DFT (GGA-PBE) results for an optimized crystal structure of U4Mn.

Computed properties:
* calculated volume: 22.9 Å³ per atom
* density: 14.6 g/cm³
* ΔH_f (0 K): 3.92 eV/f.u.
* space group: Pm-3m, No. 221
* magnetization: 4.550 μB per formula unit
* E_tot: -50.401 eV for the cell shown

Cell lengths 4.8547, 4.8547, 4.8547 Å; angles 90.00, 90.00, 90.00 degrees
Closest atoms and distances in Å follow each position.
Fractional positions:
Mn  0.5000  0.5000  0.5000  6 U 2.43
U  0.0000  0.0000  0.0000  12 U 3.43
U  0.5000  0.0000  0.5000  2 Mn 2.43
U  0.0000  0.5000  0.5000  2 Mn 2.43
U  0.5000  0.5000  0.0000  2 Mn 2.43



Entry 10:
DFT (GGA-PBE) results for an optimized crystal structure of U2Mn.

Computed properties:
* calculated volume: 17.4 Å³ per atom
* density: 16.9 g/cm³
* ΔH_f (0 K): 0.32 eV/f.u.
* space group: I4/mmm, No. 139
* magnetization: 0.530 μB per formula unit
* E_tot: -31.427 eV for the cell shown

Cell lengths 3.3954, 3.3954, 5.1230 Å; angles 109.35, 109.35, 90.00 degrees
Closest atoms and distances in Å follow each position.
Fractional positions:
Mn  0.0000  0.0000  0.0000  10 U 2.87-2.95
U  0.6737  0.6737  0.3475  4 U 2.77, 5 Mn 2.87-2.95
U  0.3263  0.3263  0.6525  4 U 2.77, 5 Mn 2.87-2.95



Entry 11:
DFT (GGA-PBE) results for an optimized crystal structure of U5Mn.

Computed properties:
* calculated volume: 18.9 Å³ per atom
* density: 18.3 g/cm³
* ΔH_f (0 K): 1.02 eV/f.u.
* space group: Cmmm, No. 65
* magnetization: 0.000 μB per formula unit
* E_tot: -64.594 eV for the cell shown

Cell lengths 2.9932, 5.0978, 7.8429 Å; angles 108.97, 90.00, 90.00 degrees
Closest atoms and distances in Å follow each position.
Fractional positions:
Mn  0.0000  0.0000  0.0000  8 U 2.82-2.96, 2 Mn 2.99
U  0.0000  0.6617  0.3235  10 U 2.83-3.03
U  0.0000  0.3383  0.6765  10 U 2.83-3.03
U  0.5000  0.5000  0.0000  6 U 2.83-2.99, 4 Mn 2.96
U  0.5000  0.1609  0.3218  2 Mn 2.82, 8 U 2.96-3.03
U  0.5000  0.8391  0.6782  2 Mn 2.82, 8 U 2.96-3.03



Entry 12:
DFT (GGA-PBE) results for an optimized crystal structure of U3Mn.

Computed properties:
* calculated volume: 17.9 Å³ per atom
* density: 17.9 g/cm³
* ΔH_f (0 K): 0.66 eV/f.u.
* space group: P-4m2, No. 115
* magnetization: 0.004 μB per formula unit
* energy above the most stable polymorph in this dataset: 38 meV per atom
* E_tot: -42.375 eV for the cell shown

Cell lengths 3.8328, 3.8328, 4.8669 Å; angles 90.00, 90.00, 90.00 degrees
Closest atoms and distances in Å follow each position.
Fractional positions:
Mn  0.0000  0.5000  0.4166  8 U 2.71-2.80
U  0.0000  0.0000  0.9986  2 Mn 2.79, 6 U 2.80-2.82
U  0.5000  0.0000  0.4167  4 Mn 2.71, 4 U 2.80
U  0.5000  0.5000  0.8348  6 U 2.80-2.82, 2 Mn 2.80



Entry 13:
DFT (GGA-PBE) results for an optimized crystal structure of UMn4.

Computed properties:
* calculated volume: 18.4 Å³ per atom
* density: 8.3 g/cm³
* ΔH_f (0 K): 5.65 eV/f.u.
* space group: Pm-3m, No. 221
* magnetization: 9.138 μB per formula unit
* E_tot: -42.321 eV for the cell shown

Cell lengths 4.5154, 4.5154, 4.5154 Å; angles 90.00, 90.00, 90.00 degrees
Closest atoms and distances in Å follow each position.
Fractional positions:
Mn  0.0000  0.0000  0.0000  12 Mn 3.19
Mn  0.5000  0.0000  0.5000  2 U 2.26
Mn  0.0000  0.5000  0.5000  2 U 2.26
Mn  0.5000  0.5000  0.0000  2 U 2.26
U  0.5000  0.5000  0.5000  6 Mn 2.26